Density functional theory data (PBE) for a relaxed Pm4Nd2Tm crystal.

Results
* SG: Cmce (64)
* energy of formation: 161 meV/atom
* energy above the lowest structure with this stoichiometry: 99 kJ/mol of formula units

Lattice parameters (Å, degrees): 6.7213 6.7213 19.7907 90.00 90.00 146.96
Last column: nearest neighbours and their distance in Å.
Element x y z (fractional)
Pm 0.1083 0.8917 0.8231  4 Pm 3.35-3.47, 3 Nd 3.37-3.68
Pm 0.2370 0.7630 0.5658  4 Pm 3.25-3.35, 2 Nd 3.44, 1 Tm 3.63
Pm 0.2630 0.7370 0.0658  4 Pm 3.25-3.35, 2 Nd 3.44, 1 Tm 3.63
Pm 0.3917 0.6083 0.3231  4 Pm 3.35-3.47, 3 Nd 3.37-3.68
Pm 0.6083 0.3917 0.6769  4 Pm 3.35-3.47, 3 Nd 3.37-3.68
Pm 0.7370 0.2630 0.9342  4 Pm 3.25-3.35, 2 Nd 3.44, 1 Tm 3.63
Pm 0.7630 0.2370 0.4342  4 Pm 3.25-3.35, 2 Nd 3.44, 1 Tm 3.63
Pm 0.8917 0.1083 0.1769  4 Pm 3.35-3.47, 3 Nd 3.37-3.68
Nd 0.1066 0.8934 0.3313  5 Pm 3.37-3.68, 2 Nd 3.74
Nd 0.3934 0.6066 0.8313  5 Pm 3.37-3.68, 2 Nd 3.74
Nd 0.6066 0.3934 0.1687  5 Pm 3.37-3.68, 2 Nd 3.74
Nd 0.8934 0.1066 0.6687  5 Pm 3.37-3.68, 2 Nd 3.74
Tm 0.0000 0.0000 0.0000  8 Pm 3.63-3.83, 2 Tm 3.82
Tm 0.5000 0.5000 0.5000  8 Pm 3.63-3.83, 2 Tm 3.82

Density functional theory data (PBE) for a relaxed TlInW4 crystal.

Results
* SG: F-43m (216)
* energy of formation: 779 meV/atom

Lattice parameters (Å, degrees): 5.4394 5.4394 5.4394 60.00 60.00 60.00
Last column: nearest neighbours and their distance in Å.
Element x y z (fractional)
Tl 0.0000 0.0000 0.0000  12 W 3.19, 4 In 3.33
In 0.2500 0.2500 0.2500  12 W 3.19, 4 Tl 3.33
W 0.1249 0.6250 0.6250  6 W 2.72
W 0.6250 0.1249 0.6250  6 W 2.72
W 0.6250 0.6250 0.1249  6 W 2.72
W 0.6250 0.6250 0.6250  6 W 2.72

Density functional theory data (PBE) for a relaxed LiNd2UO6 crystal.

Results
* SG: R3 (146)
* energy relative to the elements, uncorrected: -298.2 kJ/mol of atoms

Lattice parameters (Å, degrees): 6.0201 6.0201 6.0201 58.82 58.82 58.82
Last column: nearest neighbours and their distance in Å.
Element x y z (fractional)
Li 0.0000 0.0000 0.0000  6 O 2.28-2.37
Nd 0.2735 0.2735 0.2735  6 O 2.35-2.51
Nd 0.7782 0.7782 0.7782  6 O 2.35-2.49
U 0.4942 0.4942 0.4942  6 O 2.15-2.16
O 0.1346 0.6921 0.3754  1 U 2.16, 1 Li 2.28, 1 Nd 2.35
O 0.2148 0.6160 0.8533  1 U 2.15, 1 Nd 2.35, 1 Li 2.37
O 0.3754 0.1346 0.6921  1 U 2.16, 1 Li 2.28, 1 Nd 2.35
O 0.6160 0.8533 0.2148  1 U 2.15, 1 Nd 2.35, 1 Li 2.37
O 0.6921 0.3754 0.1346  1 U 2.16, 1 Li 2.28, 1 Nd 2.35
O 0.8533 0.2148 0.6160  1 U 2.15, 1 Nd 2.35, 1 Li 2.37

Density functional theory data (PBE) for a relaxed RbYRe2As crystal.

Results
* SG: P4/mmm (123)
* energy of formation: 1273 meV/atom

Lattice parameters (Å, degrees): 4.6869 4.6869 5.5494 90.00 90.00 90.00
Last column: nearest neighbours and their distance in Å.
Element x y z (fractional)
Rb 0.0000 0.0000 0.0000  2 As 2.77
Y 0.5000 0.5000 0.0000  4 Rb 3.31, 8 Re 3.63
Re 0.0000 0.5000 0.5000  2 As 2.34
Re 0.5000 0.0000 0.5000  2 As 2.34
As 0.0000 0.0000 0.5000  4 Re 2.34

Density functional theory data (PBE) for a relaxed Zn2SiPd8 crystal.

Results
* SG: Immm (71)
* energy above the lowest structure with this stoichiometry: 0 kJ/mol of formula units
* energy relative to the elements, uncorrected: -39.1 kJ/mol of atoms

Lattice parameters (Å, degrees): 7.5284 7.5284 7.5284 145.78 135.26 57.50
Last column: nearest neighbours and their distance in Å.
Element x y z (fractional)
Zn 0.1861 0.1861 0.0000  12 Pd 2.68-2.87
Zn 0.8139 0.8139 0.0000  12 Pd 2.68-2.87
Si 0.5000 0.5000 0.0000  4 Pd 2.36
Pd 0.1013 0.3619 0.7393  1 Si 2.36
Pd 0.2453 0.0000 0.2453  2 Si 2.65, 8 Pd 2.80-2.92, 2 Zn 2.83
Pd 0.3191 0.8191 0.5000  8 Pd 2.73-2.80, 4 Zn 2.83-2.87
Pd 0.3774 0.6381 0.7393  1 Si 2.36
Pd 0.6226 0.3619 0.2607  1 Si 2.36
Pd 0.6809 0.1809 0.5000  8 Pd 2.73-2.80, 4 Zn 2.83-2.87
Pd 0.7547 0.0000 0.7547  2 Si 2.65, 8 Pd 2.80-2.92, 2 Zn 2.83
Pd 0.8987 0.6381 0.2607  1 Si 2.36

Density functional theory data (PBE) for a relaxed SiTeSe2I crystal.

Results
* SG: P4/mmm (123)
* energy relative to the elements, uncorrected: 69.8 kJ/mol of atoms

Lattice parameters (Å, degrees): 5.2905 5.2905 5.7546 90.00 90.00 90.00
Last column: nearest neighbours and their distance in Å.
Element x y z (fractional)
Si 0.0000 0.0000 0.0000  2 Te 2.88
Te 0.0000 0.0000 0.5000  4 Se 2.65, 2 Si 2.88
Se 0.0000 0.5000 0.5000  2 Te 2.65
Se 0.5000 0.0000 0.5000  2 Te 2.65
I 0.5000 0.5000 0.0000  4 Si 3.74, 8 Se 3.91

Calculated final energy (eV for the cell shown), listed in the same order as above: -63.8 -52.2 -83.4 -30.6 -54.0 -13.5